(1)
The following is a DFT calculation (PBE) of an optimized crystal structure of YPa2Rh3.

Unit cell a=5.6488 b=7.1863 c=8.7697 alpha=113.38 beta=84.11 gamma=126.93
Closest atoms and distances in Å follow each position.
Positions (direct):
Y1 0.9462 0.9918 0.7018  5 Rh 2.85-2.97
Rh1 0.9437 0.7340 0.9351  4 Pa 2.67-2.96, 1 Y 2.89, 1 Rh 2.98
Rh2 0.6984 0.5486 0.3724  3 Pa 2.64-2.90, 1 Rh 2.91, 1 Y 2.94
Pa1 0.2670 0.6448 0.3749  5 Rh 2.67-2.90
Rh3 0.3016 0.4514 0.6276  3 Pa 2.64-2.90, 1 Rh 2.91, 1 Y 2.94
Pa2 0.7330 0.3552 0.6251  5 Rh 2.67-2.90
Rh4 0.3947 0.9308 0.7199  3 Pa 2.72-2.89, 2 Y 2.85-2.87, 2 Rh 2.91-2.98
Pa3 0.4062 0.6938 0.9603  4 Rh 2.64-2.86
Y2 0.0538 0.0082 0.2982  5 Rh 2.85-2.97
Rh5 0.0563 0.2660 0.0649  4 Pa 2.67-2.96, 1 Y 2.89, 1 Rh 2.98
Pa4 0.5938 0.3062 0.0397  4 Rh 2.64-2.86
Rh6 0.6053 0.0692 0.2801  3 Pa 2.72-2.89, 2 Y 2.85-2.87, 2 Rh 2.91-2.98

Results
- N(E_F): 5.961 states/eV/f.u.
- E_tot: -104.9 eV per cell
- Energy relative to the elements: -0.82 eV/atom

(2)
The following is a DFT calculation (PBE) of an optimized crystal structure of Ca3Cd2Ag4.

Unit cell a=4.8292 b=6.1407 c=8.6769 alpha=73.83 beta=73.84 gamma=66.85
Closest atoms and distances in Å follow each position.
Positions (direct):
Ca1 0.6470 0.3924 0.3135  7 Ag 3.15-3.35, 4 Cd 3.34-3.40
Cd1 0.3499 0.9843 0.3159  4 Ag 2.81-3.05
Ag1 0.7304 0.6045 0.9347  1 Cd 2.81, 2 Ag 2.81
Ag2 0.2696 0.3955 0.0653  1 Cd 2.81, 2 Ag 2.81
Ag3 0.0706 0.2639 0.5949  3 Cd 2.82-3.05, 1 Ag 2.83
Ag4 0.9294 0.7361 0.4051  3 Cd 2.82-3.05, 1 Ag 2.83
Cd2 0.6501 0.0157 0.6841  4 Ag 2.81-3.05
Ca2 0.3530 0.6076 0.6865  7 Ag 3.15-3.35, 4 Cd 3.34-3.40
Ca3 0.0000 0.0000 0.0000  8 Ag 3.35-3.42, 4 Cd 3.56, 2 Ca 3.74

Results
- N(E_F): 5.048 states/eV/f.u.
- Polymorph energy (0 for the lowest one): 0.000 eV per atom
- E_tot: -21.9 eV per cell
- Energy relative to the elements: -0.29 eV/atom

(3)
The following is a DFT calculation (PBE) of an optimized crystal structure of PmDy2Cd8.

Unit cell a=5.3380 b=6.3588 c=8.9726 alpha=110.72 beta=107.26 gamma=90.12
Closest atoms and distances in Å follow each position.
Positions (direct):
Cd1 0.7019 0.2019 0.4038  6 Cd 3.17-3.26, 4 Dy 3.18-3.19, 1 Pm 3.21
Cd2 0.2522 0.5023 0.0000  2 Cd 2.65-2.69
Cd3 0.2981 0.7981 0.5962  6 Cd 3.17-3.26, 4 Dy 3.18-3.19, 1 Pm 3.21
Dy1 0.3105 0.3105 0.6210  12 Cd 3.18-3.31
Pm1 0.5000 0.0000 0.0000  6 Cd 3.21-3.46
Cd4 0.7478 0.4977 0.0000  2 Cd 2.65-2.69
Cd5 0.8700 0.1016 0.7398  6 Cd 2.95-3.26, 1 Dy 3.23
Cd6 0.1302 0.3619 0.2602  6 Cd 2.95-3.26, 1 Dy 3.23
Cd7 0.1300 0.8984 0.2602  6 Cd 2.95-3.26, 1 Dy 3.23
Cd8 0.8698 0.6381 0.7398  6 Cd 2.95-3.26, 1 Dy 3.23
Dy2 0.6895 0.6895 0.3790  12 Cd 3.18-3.31

Results
- N(E_F): 5.849 states/eV/f.u.
- E_tot: -24.1 eV per cell
- Energy relative to the elements: -0.26 eV/atom

Question: Among the records above, which one has the lowest E_tot?
Answer: YPa2Rh3

Question: What is the formula in the second record?
Answer: Ca3Cd2Ag4